DFT (PBE) results for crystalline LiMnGa3 at its relaxed geometry.

Summary:
The calculation puts the energy above the lowest structure with this stoichiometry at 0 meV per atom. As for the space-group type: P2_1/m (11). Its formation energy from the elements is -141 meV per atom.

Cell and atoms, written as POSCAR:
```
LiMnGa3
1.0
3.9378 0.0000 0.0000
0.0000 3.9395 0.0000
-0.0189 0.0000 9.7205
Li Mn Ga
2 2 6
Direct
0.2489 0.2500 0.3179
0.7511 0.7500 0.6821
0.2510 0.2500 0.6854
0.7490 0.7500 0.3146
0.2469 0.7500 0.1314
0.2501 0.7500 0.5000
0.2527 0.7500 0.8686
0.7473 0.2500 0.1314
0.7499 0.2500 0.5000
0.7531 0.2500 0.8686
```